(1)
Tl2CdSbTe4: relaxed, PBE.

a = 6.5164 Å, b = 6.6664 Å, c = 7.7183 Å
α = 114.24°, β = 114.17°, γ = 90.17°
Last column: nearest neighbours and their distance in Å.
Space group P1 (No. 1)
One atom of each set of equivalent atoms:
Tl (0.0000, 0.0000, 0.0000) x1  6 Te 3.23-3.40
Tl (0.2594, 0.7418, 0.4968) x1  6 Te 3.23-3.46
Cd (0.8062, 0.1960, 0.5021) x1  4 Te 2.92-2.95
Sb (0.5300, 0.4635, 0.9968) x1  4 Te 2.88-3.10
Te (0.2586, 0.2620, 0.5185) x1  1 Cd 2.92, 1 Sb 3.02, 2 Tl 3.26-3.27
Te (0.5180, 0.0580, 0.0449) x1  1 Sb 2.88, 1 Cd 2.95
Te (0.7487, 0.7533, 0.4856) x1  1 Cd 2.92, 1 Sb 3.10, 2 Tl 3.23
Te (0.9534, 0.4882, 0.9576) x1  1 Sb 2.91, 1 Cd 2.95

Raw formation energy ... -0.2086 eV/atom
Density ... 7.0 g/cm³
DOS at the Fermi energy ... 3.95 states/eV/cell



(2)
Rb3Pa2TlO9: relaxed, PBE.

a = 6.2272 Å, b = 6.2272 Å, c = 7.5919 Å
α = 90.00°, β = 90.00°, γ = 120.00°
Last column: nearest neighbours and their distance in Å.
Space group P-3m1 (No. 164)
One atom of each set of equivalent atoms:
Rb (0.0000, 0.0000, 0.0000) x1  12 O 3.08-3.11
Rb (0.3333, 0.6667, 0.6612) x2  12 O 3.09-3.14
Pa (0.3333, 0.6667, 0.1701) x2  6 O 2.10-2.21
Tl (0.0000, 0.0000, 0.5000) x1  6 O 2.28
O (0.0000, 0.5000, 0.0000) x3  2 Pa 2.21
O (0.1721, 0.3441, 0.3245) x6  1 Pa 2.10, 1 Tl 2.28

Raw formation energy ... -2.2475 eV/atom
Density ... 6.9 g/cm³
DOS at the Fermi energy ... 13.46 states/eV/cell



(3)
Pm4Dy2ErTh: relaxed, PBE.

a = 5.6118 Å, b = 11.6652 Å, c = 16.7293 Å
α = 90.00°, β = 90.00°, γ = 90.00°
Last column: nearest neighbours and their distance in Å.
Space group Cmcm (No. 63)
One atom of each set of equivalent atoms:
Pm (0.0000, 0.0000, 0.0000) x4  4 Dy 3.54, 6 Pm 3.64-3.91
Pm (0.0000, 0.2928, 0.0758) x8  1 Pm 3.24, 3 Dy 3.27-3.60, 1 Th 3.61
Pm (0.0000, 0.4139, 0.2500) x4  2 Er 3.09, 2 Pm 3.24, 2 Dy 3.28
Dy (0.0000, 0.3954, 0.6062) x8  6 Pm 3.27-3.60, 1 Er 3.34
Er (0.0000, 0.1966, 0.7500) x4  2 Pm 3.09, 2 Dy 3.34
Th (0.0000, 0.1098, 0.2500) x4  5 Pm 3.55-3.62, 3 Er 3.58-3.60, 4 Dy 3.70

Formation energy ... 0.25 eV/atom
Density ... 7.9 g/cm³
DOS at the Fermi energy ... 42.45 states/eV/cell



(4)
NpIn5Cu: relaxed, PBE.

a = 4.7010 Å, b = 4.7010 Å, c = 7.5326 Å
α = 90.00°, β = 90.00°, γ = 90.00°
Last column: nearest neighbours and their distance in Å.
Space group P4/mmm (No. 123)
One atom of each set of equivalent atoms:
Np (0.0000, 0.0000, 0.0000) x1  12 In 3.25-3.32
In (0.0000, 0.5000, 0.2978) x4  2 Cu 2.80, 1 In 3.05
In (0.5000, 0.5000, 0.0000) x1  8 In 3.25, 4 Np 3.32
Cu (0.0000, 0.0000, 0.5000) x1  8 In 2.80

Formation energy ... 0.00 eV/atom
Density ... 8.7 g/cm³
DOS at the Fermi energy ... 11.42 states/eV/cell



(5)
YCuTc2: relaxed, PBE.

a = 3.9963 Å, b = 3.9963 Å, c = 19.1233 Å
α = 90.00°, β = 90.00°, γ = 90.00°
Last column: nearest neighbours and their distance in Å.
Space group I-42d (No. 122)
One atom of each set of equivalent atoms:
Y (0.0000, 0.0000, 0.0000) x4  4 Cu 2.83, 4 Tc 2.92
Cu (0.0000, 0.0000, 0.5000) x4  4 Tc 2.67, 4 Y 2.83
Tc (0.1616, 0.2500, 0.6250) x8  2 Tc 2.38

Formation energy ... 0.46 eV/atom
Energy above the lowest structure with this stoichiometry ... 0.439 eV per atom
Density ... 7.6 g/cm³
DOS at the Fermi energy ... 34.06 states/eV/cell



(6)
CaAcBiO2: relaxed, PBE.

a = 4.1012 Å, b = 4.1012 Å, c = 15.6944 Å
α = 90.00°, β = 90.00°, γ = 90.00°
Last column: nearest neighbours and their distance in Å.
Space group I4mm (No. 107)
One atom of each set of equivalent atoms:
Ca (0.0000, 0.0000, 0.0000) x2  4 O 2.30
Ac (0.0000, 0.0000, 0.3592) x2  4 O 2.37
Bi (0.0000, 0.0000, 0.6749) x2  4 Ca 3.99, 4 Ac 4.10, 4 Bi 4.10, 4 O 4.30
O (0.0000, 0.5000, 0.4343) x4  2 Ca 2.30, 2 Ac 2.37

Raw formation energy ... -2.2661 eV/atom
Density ... 6.4 g/cm³
DOS at the Fermi energy ... 3.82 states/eV/cell



(7)
PuGe2Pd: relaxed, PBE.

a = 2.9633 Å, b = 6.4598 Å, c = 8.0357 Å
α = 90.00°, β = 90.00°, γ = 90.00°
Last column: nearest neighbours and their distance in Å.
Space group Amm2 (No. 38)
One atom of each set of equivalent atoms:
Pu (0.0000, 0.0000, 0.0000) x2  8 Ge 2.96-3.05, 2 Pu 2.96
Ge (0.5000, 0.2024, 0.2898) x4  2 Pd 2.55-2.68, 1 Ge 2.62
Pd (0.5000, 0.0000, 0.5811) x2  4 Ge 2.55-2.68

Formation energy ... -0.37 eV/atom
Density ... 10.7 g/cm³
DOS at the Fermi energy ... 16.62 states/eV/cell



(8)
LiPuMnFe: relaxed, PBE.

a = 6.0595 Å, b = 6.0595 Å, c = 6.0595 Å
α = 90.00°, β = 90.00°, γ = 90.00°
Last column: nearest neighbours and their distance in Å.
Space group F-43m (No. 216)
One atom of each set of equivalent atoms:
Li (0.0000, 0.0000, 0.0000) x4  4 Mn 2.62, 4 Fe 2.62
Pu (0.0000, 0.0000, 0.5000) x4  4 Fe 2.62, 4 Mn 2.62
Mn (0.2500, 0.2500, 0.7500) x4  4 Li 2.62, 4 Pu 2.62
Fe (0.2500, 0.2500, 0.2500) x4  4 Li 2.62, 4 Pu 2.62

Formation energy ... 0.19 eV/atom
Density ... 10.8 g/cm³
DOS at the Fermi energy ... 15.32 states/eV/cell